VASP calculation (GGA-PBE) on a relaxed Nd2CuH6Ru crystal.

Cell lengths 5.3022, 5.3024, 5.2795 Å; angles 60.15, 60.15, 90.99 degrees
Positions (direct):
Ru (0.5000, 0.5000, 0.0000)
Nd (0.2502, 0.7498, 0.5000)
Nd (0.7498, 0.2502, 0.5000)
H (0.2609, 0.2609, 0.9983)
H (0.7389, 0.7389, 0.5206)
H (0.2611, 0.2611, 0.4794)
H (0.7391, 0.7391, 0.0017)
H (0.2627, 0.7373, 0.0000)
H (0.7373, 0.2627, 0.0000)
Cu (0.0000, 0.0000, 0.0000)

Values from the calculation:
- Energy: -4.6916 eV per atom
- D(E_F): 0.47 states/eV per atom